{
  "formula": "Tm2NCl2",
  "functional": "PBE",
  "state": "optimized geometry",
  "cell": [[3.4797, 0.0000, 0.6436], [1.6803, 3.0471, 0.6436], [-0.0743, -0.0439, 10.1309]],
  "species": ["Cl", "Cl", "Tm", "Tm", "N"],
  "frac_coords": [[0.2315, 0.2315, 0.3054], [0.7685, 0.7685, 0.6946], [0.6239, 0.6239, 0.1282], [0.3761, 0.3761, 0.8718], [0.0000, 0.0000, 0.0000]],
  "dos_ef_per_ev_cell": 1.5,
  "total_magnetization_mub_per_cell": 0.0,
  "formation_energy_uncorrected_mev_per_atom": -1991.0,
  "total_energy_ev_per_atom": -6.183,
  "space_group": "R-3m"
}